A geometry-optimized SbBrN2 structure. Source: the Alexandria database, functional PBE-GGA.

abc: 6.066 6.066 6.066
angles: 90.00 90.00 90.00
Space group Fm-3m (No. 225)
Inequivalent atoms, fractional coordinates:
1 Sb 0.000 0.000 0.000 (multiplicity 4)
2 Br 0.000 0.000 0.500 (multiplicity 4)
3 N 0.250 0.250 0.250 (multiplicity 8)

- Calculated density: 6.835 Mg/m³
- Crystal system: cubic
- Uncorrected formation energy: 195.9 kJ/mol of atoms
- D(E_F): 10.6 states/eV/cell